ZnP after structural relaxation. Source: the Alexandria database, functional PBE-GGA.

Lattice parameters (Å, degrees): 3.851 3.851 3.851 60.00 60.00 60.00
Fractional positions:
P1 0.000 0.000 0.000
Zn1 0.250 0.250 0.250

- E_tot: -3.23 eV/atom
- Crystal system: cubic
- M_tot: 0.000 μB/f.u.
- Space-group type: F-43m (216)
- Energy of formation: 0.114 eV/atom
- V: 40.4 Å³/cell